(1)
Y2CuHg after structural relaxation. Source: Alexandria via LeMat-Bulk, functional PBE.

```
Y2CuHg
1.0
3.8628 0.0000 0.0000
-1.9314 3.3453 0.0000
0.0000 0.0000 24.2786
Y Cu Hg
6 3 3
direct
0.0000 0.0000 0.2406 Y
0.0000 0.0000 0.7594 Y
0.3333 0.6667 0.4261 Y
0.3333 0.6667 0.9072 Y
0.6667 0.3333 0.0928 Y
0.6667 0.3333 0.5739 Y
0.0000 0.0000 0.5000 Cu
0.3333 0.6667 0.1667 Cu
0.6667 0.3333 0.8333 Cu
0.0000 0.0000 0.0000 Hg
0.3333 0.6667 0.6667 Hg
0.6667 0.3333 0.3333 Hg
```

Output
The total DFT energy (no corrections) is -4.5331 eV per atom. The calculated volume comes out at 26.145 Å³/atom. The density of states at the Fermi level is 15.56 states/eV per cell. Its formation energy is -0.8 eV/f.u. The space-group type is R-3m.

---

(2)
LaY2Ho6 after structural relaxation. Source: Alexandria via LeMat-Bulk, functional PBE.

```
LaY2Ho6
1.0
14.5645 -2.8148 0.0000
14.5645 2.8148 0.0000
-0.0027 0.0000 3.5074
La Y Ho
1 2 6
direct
0.0000 0.0000 0.0000 La
0.3329 0.3329 0.9994 Y
0.6671 0.6671 0.0006 Y
0.1131 0.1131 0.5009 Ho
0.2232 0.2232 0.4998 Ho
0.4431 0.4431 0.4997 Ho
0.5569 0.5569 0.5003 Ho
0.7768 0.7768 0.5002 Ho
0.8869 0.8869 0.4991 Ho
```

Output
For the relative energy among the computed polymorphs, the calculation gives 9 meV/atom. The total DFT energy (no corrections) is -4.9683 eV per atom. The calculated volume comes out at 31.953 Å³/atom. The density of states at the Fermi level is 16.02 states/eV per cell. Its formation energy is 0.6 eV/f.u. The space-group type is C2/m.